No. 1
A plane-wave DFT calculation with PBE was carried out for a relaxed SiAuN3 crystal.

Computed properties:
SG = Pm-3m (221)
Uncorrected energy = -4.25 eV/atom
Energy relative to the elements, uncorrected = 2486 meV per atom
Density of states at the Fermi level = 0.5218 states/eV/atom

Lattice parameters (Å, degrees): 4.0855 4.0855 4.0855 90.00 90.00 90.00
Site moments in Bohr magnetons follow the coordinates.
Fractional positions:
N (0.0000, 0.5000, 0.0000)  0.80
N (0.5000, 0.0000, 0.0000)  0.89
N (0.0000, 0.0000, 0.5000)  0.54
Au (0.0000, 0.0000, 0.0000)  0.21
Si (0.5000, 0.5000, 0.5000)  -0.05



No. 2
A plane-wave DFT calculation with PBE was carried out for a relaxed SiAu3N crystal.

Computed properties:
SG = Pm-3m (221)
Uncorrected energy = -3.73 eV/atom
Energy relative to the elements, uncorrected = 983 meV per atom
Density of states at the Fermi level = 0.5874 states/eV/atom

Lattice parameters (Å, degrees): 4.4400 4.4400 4.4400 90.00 90.00 90.00
Fractional positions:
Au (0.5000, 0.0000, 0.0000)
Au (0.0000, 0.5000, 0.0000)
Au (0.0000, 0.0000, 0.5000)
Si (0.5000, 0.5000, 0.5000)
N (0.0000, 0.0000, 0.0000)



No. 3
A plane-wave DFT calculation with PBE was carried out for a relaxed Si2AuN3 crystal.

Computed properties:
SG = Cmc2_1 (36)
Uncorrected energy = -7.02 eV/atom
Energy relative to the elements, uncorrected = -503 meV per atom
Density of states at the Fermi level = 0.0000 states/eV/atom

Lattice parameters (Å, degrees): 5.5649 5.5649 5.0473 90.00 90.00 119.35
Fractional positions:
Si (0.6785, 0.0333, 0.4761)
Si (0.0333, 0.6785, 0.4761)
Si (0.3215, 0.9667, 0.9761)
Si (0.9667, 0.3215, 0.9761)
N (0.0916, 0.6508, 0.8187)
N (0.9084, 0.3492, 0.3187)
N (0.8026, 0.8026, 0.4161)
N (0.3492, 0.9084, 0.3187)
N (0.1974, 0.1974, 0.9161)
N (0.6508, 0.0916, 0.8187)
Au (0.5696, 0.5696, 0.0824)
Au (0.4304, 0.4304, 0.5824)



No. 4
A plane-wave DFT calculation with PBE was carried out for a relaxed SiAuN3 crystal.

Computed properties:
SG = Pm-3m (221)
Uncorrected energy = -5.61 eV/atom
Energy relative to the elements, uncorrected = 1124 meV per atom
Density of states at the Fermi level = 0.7153 states/eV/atom

Lattice parameters (Å, degrees): 3.6554 3.6554 3.6554 90.00 90.00 90.00
Fractional positions:
Au (0.5000, 0.5000, 0.5000)
N (0.0000, 0.0000, 0.5000)
N (0.5000, 0.0000, 0.0000)
N (0.0000, 0.5000, 0.0000)
Si (0.0000, 0.0000, 0.0000)



No. 5
A plane-wave DFT calculation with PBE was carried out for a relaxed Si2AuN crystal.

Computed properties:
SG = I-42d (122)
Uncorrected energy = -5.57 eV/atom
Energy relative to the elements, uncorrected = 45 meV per atom
Density of states at the Fermi level = 0.0184 states/eV/atom

Lattice parameters (Å, degrees): 5.1591 5.1591 5.8377 63.78 63.78 90.00
Fractional positions:
Au (0.7500, 0.2500, 0.5000)
Au (0.0000, 0.0000, 0.0000)
Si (0.3750, 0.4539, 0.7500)
Si (0.5461, 0.1250, 0.2500)
Si (0.8750, 0.7961, 0.7500)
Si (0.2039, 0.6250, 0.2500)
N (0.2500, 0.7500, 0.5000)
N (0.5000, 0.5000, 0.0000)



No. 6
A plane-wave DFT calculation with PBE was carried out for a relaxed SiTeAuN2 crystal.

Computed properties:
SG = P4/mmm (123)
Uncorrected energy = -3.94 eV/atom
Energy relative to the elements, uncorrected = 1756 meV per atom
Density of states at the Fermi level = 0.4406 states/eV/atom

Lattice parameters (Å, degrees): 3.9632 3.9632 7.6900 90.00 90.00 90.00
Site moments in Bohr magnetons follow the coordinates.
Fractional positions:
N (0.0000, 0.5000, 0.0000)  0.98
N (0.5000, 0.0000, 0.0000)  0.98
Au (0.0000, 0.0000, 0.0000)  0.29
Te (0.0000, 0.0000, 0.5000)  0.00
Si (0.5000, 0.5000, 0.5000)  -0.11



No. 7
A plane-wave DFT calculation with PBE was carried out for a relaxed SiTeAuN2 crystal.

Computed properties:
SG = P4/mmm (123)
Uncorrected energy = -4.92 eV/atom
Energy relative to the elements, uncorrected = 778 meV per atom
Density of states at the Fermi level = 0.7042 states/eV/atom

Lattice parameters (Å, degrees): 3.6561 3.6561 6.4973 90.00 90.00 90.00
Site moments in Bohr magnetons follow the coordinates.
Fractional positions:
Au (0.5000, 0.5000, 0.5000)  0.01
N (0.0000, 0.5000, 0.0000)  0.06
N (0.5000, 0.0000, 0.0000)  0.06
Te (0.0000, 0.0000, 0.5000)  0.02
Si (0.0000, 0.0000, 0.0000)  -0.01



No. 8
A plane-wave DFT calculation with PBE was carried out for a relaxed ZnSi2AuN crystal.

Computed properties:
SG = P4/mmm (123)
Uncorrected energy = -3.39 eV/atom
Energy relative to the elements, uncorrected = 1358 meV per atom
Density of states at the Fermi level = 0.5765 states/eV/atom

Lattice parameters (Å, degrees): 5.1938 3.7479 5.1938 90.00 90.00 90.00
Fractional positions:
Si (0.0000, 0.0000, 0.5000)
Si (0.5000, 0.0000, 0.0000)
Au (0.0000, 0.0000, 0.0000)
N (0.0000, 0.5000, 0.0000)
Zn (0.5000, 0.5000, 0.5000)



No. 9
A plane-wave DFT calculation with PBE was carried out for a relaxed ZrSi2AuN crystal.

Computed properties:
SG = P4/mmm (123)
Uncorrected energy = -4.58 eV/atom
Energy relative to the elements, uncorrected = 1620 meV per atom
Density of states at the Fermi level = 0.9472 states/eV/atom

Lattice parameters (Å, degrees): 4.4710 5.6188 4.4710 90.00 90.00 90.00
Fractional positions:
Au (0.0000, 0.0000, 0.0000)
Si (0.0000, 0.0000, 0.5000)
Si (0.5000, 0.0000, 0.0000)
N (0.5000, 0.5000, 0.5000)
Zr (0.0000, 0.5000, 0.0000)



No. 10
A plane-wave DFT calculation with PBE was carried out for a relaxed Sm4Au2N crystal.

Computed properties:
SG = Pbam (55)
Uncorrected energy = -5.59 eV/atom
Energy relative to the elements, uncorrected = -769 meV per atom
Density of states at the Fermi level = 0.9515 states/eV/atom

Lattice parameters (Å, degrees): 3.8213 7.2109 12.9617 90.00 90.00 90.00
Site moments in Bohr magnetons follow the coordinates.
Fractional positions:
Au (0.5000, 0.5766, 0.3317)  0.02
Au (0.5000, 0.4234, 0.6683)  0.02
Au (0.5000, 0.9234, 0.8317)  0.02
Au (0.5000, 0.0766, 0.1683)  0.02
N (0.0000, 0.0000, 0.5000)  -0.03
N (0.0000, 0.5000, 0.0000)  -0.03
Sm (0.0000, 0.3952, 0.1842)  0.10
Sm (0.5000, 0.7258, 0.0406)  0.16
Sm (0.0000, 0.1048, 0.6842)  0.10
Sm (0.5000, 0.7742, 0.5406)  0.16
Sm (0.0000, 0.6048, 0.8158)  0.10
Sm (0.5000, 0.2742, 0.9594)  0.16
Sm (0.5000, 0.2258, 0.4594)  0.16
Sm (0.0000, 0.8952, 0.3158)  0.10



No. 11
A plane-wave DFT calculation with PBE was carried out for a relaxed Sm12Au3N5 crystal.

Computed properties:
SG = Ia-3d (230)
Uncorrected energy = -6.26 eV/atom
Energy relative to the elements, uncorrected = -857 meV per atom
Density of states at the Fermi level = 0.8917 states/eV/atom

Lattice parameters (Å, degrees): 13.6759 13.6759 13.6759 109.47 109.47 109.47
Fractional positions:
N (0.0000, 0.0000, 0.5000)
N (0.5000, 0.5000, 0.0000)
N (0.5000, 0.0000, 0.0000)
N (0.0000, 0.5000, 0.0000)
N (0.1250, 0.7500, 0.3750)
N (0.5000, 0.0000, 0.5000)
N (0.7500, 0.6250, 0.3750)
N (0.0000, 0.0000, 0.0000)
N (0.6250, 0.7500, 0.8750)
N (0.8750, 0.2500, 0.6250)
N (0.6250, 0.8750, 0.2500)
N (0.1250, 0.3750, 0.2500)
N (0.3750, 0.1250, 0.7500)
N (0.8750, 0.6250, 0.7500)
N (0.5000, 0.5000, 0.5000)
N (0.2500, 0.3750, 0.6250)
N (0.0000, 0.5000, 0.5000)
N (0.3750, 0.2500, 0.1250)
N (0.2500, 0.8750, 0.1250)
N (0.7500, 0.1250, 0.8750)
Sm (0.1838, 0.0870, 0.7013)
Sm (0.0175, 0.4032, 0.8162)
Sm (0.3857, 0.9825, 0.7987)
Sm (0.7987, 0.3162, 0.9130)
Sm (0.8162, 0.9032, 0.0175)
Sm (0.7013, 0.1143, 0.0175)
Sm (0.9825, 0.5968, 0.1838)
Sm (0.9825, 0.3857, 0.2987)
Sm (0.8857, 0.5870, 0.9032)
Sm (0.8857, 0.2987, 0.4825)
Sm (0.0870, 0.1838, 0.2013)
Sm (0.3162, 0.7987, 0.4130)
Sm (0.2013, 0.5175, 0.6143)
Sm (0.2987, 0.8857, 0.9825)
Sm (0.7987, 0.4825, 0.3857)
Sm (0.6143, 0.0175, 0.2013)
Sm (0.1143, 0.4130, 0.0968)
Sm (0.5870, 0.7013, 0.6838)
Sm (0.1143, 0.7013, 0.5175)
Sm (0.5968, 0.9825, 0.6838)
Sm (0.9032, 0.0870, 0.8857)
Sm (0.4825, 0.6838, 0.0968)
Sm (0.0175, 0.6143, 0.7013)
Sm (0.1838, 0.0968, 0.9825)
Sm (0.6838, 0.2013, 0.5870)
Sm (0.9130, 0.8162, 0.7987)
Sm (0.6143, 0.5968, 0.9130)
Sm (0.6838, 0.4825, 0.5968)
Sm (0.4032, 0.0175, 0.3162)
Sm (0.7013, 0.5870, 0.1838)
Sm (0.4032, 0.3857, 0.5870)
Sm (0.0870, 0.9032, 0.3857)
Sm (0.4130, 0.1143, 0.5968)
Sm (0.9032, 0.8162, 0.5175)
Sm (0.4825, 0.7987, 0.8857)
Sm (0.5968, 0.6143, 0.4130)
Sm (0.3857, 0.4032, 0.0870)
Sm (0.0968, 0.9130, 0.1143)
Sm (0.5175, 0.3162, 0.9032)
Sm (0.5175, 0.2013, 0.1143)
Sm (0.4130, 0.2987, 0.3162)
Sm (0.3162, 0.5175, 0.4032)
Sm (0.9130, 0.0968, 0.6143)
Sm (0.2013, 0.6838, 0.0870)
Sm (0.2987, 0.4130, 0.8162)
Sm (0.8162, 0.9130, 0.2987)
Sm (0.0968, 0.1838, 0.4825)
Sm (0.5870, 0.8857, 0.4032)
Au (0.6250, 0.3750, 0.7500)
Au (0.1250, 0.2500, 0.8750)
Au (0.8750, 0.7500, 0.1250)
Au (0.3750, 0.7500, 0.6250)
Au (0.6250, 0.2500, 0.3750)
Au (0.3750, 0.6250, 0.2500)
Au (0.2500, 0.6250, 0.8750)
Au (0.2500, 0.1250, 0.3750)
Au (0.7500, 0.8750, 0.6250)
Au (0.1250, 0.8750, 0.7500)
Au (0.8750, 0.1250, 0.2500)
Au (0.7500, 0.3750, 0.1250)



No. 12
A plane-wave DFT calculation with PBE was carried out for a relaxed Sm6Au2N crystal.

Computed properties:
SG = P2_1/c (14)
Uncorrected energy = -5.50 eV/atom
Energy relative to the elements, uncorrected = -701 meV per atom
Density of states at the Fermi level = 0.8040 states/eV/atom

Lattice parameters (Å, degrees): 6.7335 7.2023 9.9375 90.00 90.78 90.00
Fractional positions:
Sm (0.6115, 0.4755, 0.2407)
Sm (0.3153, 0.7917, 0.0532)
Sm (0.2985, 0.8084, 0.4466)
Sm (0.1847, 0.2917, 0.4468)
Sm (0.7985, 0.6916, 0.9466)
Sm (0.8885, 0.9755, 0.2593)
Sm (0.8153, 0.7083, 0.5532)
Sm (0.7015, 0.1916, 0.5534)
Sm (0.6847, 0.2083, 0.9468)
Sm (0.1115, 0.0245, 0.7407)
Sm (0.3885, 0.5245, 0.7593)
Sm (0.2015, 0.3084, 0.0534)
Au (0.4588, 0.0794, 0.2506)
Au (0.5412, 0.9206, 0.7494)
Au (0.0412, 0.5794, 0.2494)
Au (0.9588, 0.4206, 0.7506)
N (0.5000, 0.5000, 0.0000)
N (0.0000, 0.0000, 0.5000)



No. 13
A plane-wave DFT calculation with PBE was carried out for a relaxed Sm6Au3N crystal.

Computed properties:
SG = P2_1/c (14)
Uncorrected energy = -5.38 eV/atom
Energy relative to the elements, uncorrected = -732 meV per atom
Density of states at the Fermi level = 1.0648 states/eV/atom

Lattice parameters (Å, degrees): 6.7304 7.6203 10.2794 90.00 87.38 90.00
Fractional positions:
Au (0.5000, 0.5000, 0.0000)
Au (0.5626, 0.8936, 0.7463)
Au (0.9374, 0.3936, 0.7537)
Au (0.0000, 0.0000, 0.5000)
Au (0.4374, 0.1064, 0.2537)
Au (0.0626, 0.6064, 0.2463)
Sm (0.8544, 0.9597, 0.2295)
Sm (0.3614, 0.7926, 0.4330)
Sm (0.6456, 0.4597, 0.2705)
Sm (0.1456, 0.0403, 0.7705)
Sm (0.1386, 0.2926, 0.0670)
Sm (0.6386, 0.2074, 0.5670)
Sm (0.3544, 0.5403, 0.7295)
Sm (0.6951, 0.1612, 0.9416)
Sm (0.3049, 0.8388, 0.0584)
Sm (0.1951, 0.3388, 0.4416)
Sm (0.8049, 0.6612, 0.5584)
Sm (0.8614, 0.7074, 0.9330)
N (0.5000, 0.5000, 0.5000)
N (0.0000, 0.0000, 0.0000)



No. 14
A plane-wave DFT calculation with PBE was carried out for a relaxed Sm4Au2N crystal.

Computed properties:
SG = I4/mmm (139)
Uncorrected energy = -5.65 eV/atom
Energy relative to the elements, uncorrected = -832 meV per atom
Density of states at the Fermi level = 1.1540 states/eV/atom

Lattice parameters (Å, degrees): 4.8819 4.8819 8.1472 72.57 72.57 90.00
Fractional positions:
Sm (0.5000, 0.0000, 0.0000)
Sm (0.0000, 0.5000, 0.0000)
Sm (0.1741, 0.1741, 0.6518)
Sm (0.8259, 0.8259, 0.3482)
N (0.0000, 0.0000, 0.0000)
Au (0.3709, 0.3709, 0.2583)
Au (0.6291, 0.6291, 0.7417)



No. 15
A plane-wave DFT calculation with PBE was carried out for a relaxed Sn2Au2N crystal.

Computed properties:
SG = P4/mbm (127)
Uncorrected energy = -4.03 eV/atom
Energy relative to the elements, uncorrected = 545 meV per atom
Density of states at the Fermi level = 1.0186 states/eV/atom

Lattice parameters (Å, degrees): 6.2693 6.2693 5.0448 90.00 90.00 90.00
Fractional positions:
Au (0.6583, 0.8417, 0.5000)
Au (0.8417, 0.3417, 0.5000)
Au (0.3417, 0.1583, 0.5000)
Au (0.1583, 0.6583, 0.5000)
N (0.5000, 0.5000, 0.0000)
N (0.0000, 0.0000, 0.0000)
Sn (0.3221, 0.8221, 0.0000)
Sn (0.1779, 0.3221, 0.0000)
Sn (0.6779, 0.1779, 0.0000)
Sn (0.8221, 0.6779, 0.0000)



No. 16
A plane-wave DFT calculation with PBE was carried out for a relaxed Sn2Au2N crystal.

Computed properties:
SG = I4/mmm (139)
Uncorrected energy = -3.83 eV/atom
Energy relative to the elements, uncorrected = 743 meV per atom
Density of states at the Fermi level = 0.3240 states/eV/atom

Lattice parameters (Å, degrees): 3.7038 3.7038 8.2250 76.99 76.99 90.00
Fractional positions:
Au (0.2500, 0.7500, 0.5000)
Au (0.7500, 0.2500, 0.5000)
Sn (0.5899, 0.5899, 0.8203)
Sn (0.4101, 0.4101, 0.1797)
N (0.0000, 0.0000, 0.0000)



No. 17
A plane-wave DFT calculation with PBE was carried out for a relaxed TaSnAuN2 crystal.

Computed properties:
SG = P4/mmm (123)
Uncorrected energy = -5.28 eV/atom
Energy relative to the elements, uncorrected = 1876 meV per atom
Density of states at the Fermi level = 0.9362 states/eV/atom

Lattice parameters (Å, degrees): 4.0353 5.7652 4.0353 90.00 90.00 90.00
Fractional positions:
N (0.0000, 0.0000, 0.5000)
N (0.5000, 0.0000, 0.0000)
Sn (0.0000, 0.0000, 0.0000)
Au (0.5000, 0.5000, 0.5000)
Ta (0.0000, 0.5000, 0.0000)



No. 18
A plane-wave DFT calculation with PBE was carried out for a relaxed SnTe2AuN crystal.

Computed properties:
SG = P4/mmm (123)
Uncorrected energy = -3.63 eV/atom
Energy relative to the elements, uncorrected = 743 meV per atom
Density of states at the Fermi level = 0.6919 states/eV/atom

Lattice parameters (Å, degrees): 5.7439 5.7439 3.9269 90.00 90.00 90.00
Site moments in Bohr magnetons follow the coordinates.
Fractional positions:
N (0.0000, 0.0000, 0.5000)  0.87
Te (0.0000, 0.5000, 0.0000)  0.06
Te (0.5000, 0.0000, 0.0000)  0.06
Sn (0.5000, 0.5000, 0.5000)  0.01
Au (0.0000, 0.0000, 0.0000)  0.17



No. 19
A plane-wave DFT calculation with PBE was carried out for a relaxed SnTe2AuN crystal.

Computed properties:
SG = P4/mmm (123)
Uncorrected energy = -3.42 eV/atom
Energy relative to the elements, uncorrected = 959 meV per atom
Density of states at the Fermi level = 1.0557 states/eV/atom

Lattice parameters (Å, degrees): 5.8772 5.8772 3.8438 90.00 90.00 90.00
Fractional positions:
Sn (0.0000, 0.0000, 0.0000)
N (0.0000, 0.0000, 0.5000)
Au (0.5000, 0.5000, 0.5000)
Te (0.0000, 0.5000, 0.0000)
Te (0.5000, 0.0000, 0.0000)



No. 20
A plane-wave DFT calculation with PBE was carried out for a relaxed ThSn2AuN crystal.

Computed properties:
SG = P4/nmm (129)
Uncorrected energy = -6.08 eV/atom
Energy relative to the elements, uncorrected = -671 meV per atom
Density of states at the Fermi level = 0.6355 states/eV/atom

Lattice parameters (Å, degrees): 4.0323 4.0323 15.6534 90.00 90.00 90.00
Fractional positions:
Sn (0.5000, 0.0000, 0.9193)
Sn (0.5000, 0.0000, 0.2777)
Sn (0.0000, 0.5000, 0.0807)
Sn (0.0000, 0.5000, 0.7223)
Au (0.5000, 0.0000, 0.1041)
Au (0.0000, 0.5000, 0.8959)
Th (0.0000, 0.5000, 0.4253)
Th (0.5000, 0.0000, 0.5747)
N (0.0000, 0.0000, 0.5000)
N (0.5000, 0.5000, 0.5000)